Density functional theory data (PBE-GGA) for a geometry-optimized La4Pr5Ho3 structure.

a = 6.0874 Å, b = 8.8646 Å, c = 9.9055 Å
α = 105.92°, β = 72.11°, γ = 69.92°
Positions (direct):
La 0.8566 0.2271 0.0596
La 0.1583 0.0601 0.6233
La 0.8417 0.9399 0.3767
La 0.1434 0.7729 0.9404
Pr 0.6297 0.9448 0.7957
Pr 0.5000 0.5000 0.5000
Pr 0.2178 0.4531 0.1113
Pr 0.7822 0.5469 0.8887
Pr 0.3703 0.0552 0.2043
Ho 0.5175 0.6917 0.2734
Ho 0.0000 0.5000 0.5000
Ho 0.4825 0.3083 0.7266

=====

Density functional theory data (PBE-GGA) for a geometry-optimized La4PrHo5 structure.

Results
- distance to the lowest polymorph of the same formula (meV per atom) = 172

a = 3.5558 Å, b = 11.5328 Å, c = 8.8027 Å
α = 90.35°, β = 101.65°, γ = 90.00°
Positions (direct):
La 0.6618 0.2494 0.3236
La 0.0340 0.7473 0.0680
La 0.3382 0.7506 0.6764
La 0.9660 0.2527 0.9320
Pr 0.5000 0.0000 0.0000
Ho 0.1746 0.9485 0.3492
Ho 0.1724 0.5448 0.3447
Ho 0.8276 0.4552 0.6553
Ho 0.5000 0.5000 0.0000
Ho 0.8254 0.0515 0.6508

=====

D(E_F) values, unit states/eV per cell, following the record order: 19.55, 15.32.
ΔE_f values, unit eV/atom, following the record order: 0.193, 0.196.